# CaZnHg

A relaxed CaZnHg crystal (PBE, Alexandria).

For the volume, the calculation gives 23.7 Å³/atom. For the total magnetic moment, the calculation gives 0.0000 μB per atom. For the density of states at the Fermi level, the calculation gives 0.28 states/eV per atom.

Cell lengths 3.7746, 3.7746, 9.9706 Å; angles 90.00, 90.00, 90.00 degrees
Space group I4mm (No. 107)
Symmetry-distinct sites (fractional):
Ca: 0.0000 0.0000 0.0000
Zn: 0.0000 0.0000 0.3225
Hg: 0.0000 0.0000 0.6819


# CaZn3Hg

A relaxed CaZn3Hg crystal (PBE, Alexandria).

For the volume, the calculation gives 25.7 Å³/atom. For the total magnetic moment, the calculation gives 0.0000 μB per atom. For the density of states at the Fermi level, the calculation gives 0.54 states/eV per atom.

Cell lengths 5.0459, 5.0459, 5.0459 Å; angles 90.00, 90.00, 90.00 degrees
Space group Pm-3m (No. 221)
Symmetry-distinct sites (fractional):
Ca: 0.0000 0.0000 0.0000
Zn: 0.0000 0.5000 0.5000
Hg: 0.5000 0.5000 0.5000


# Ca2ZnHg8

A relaxed Ca2ZnHg8 crystal (PBE, Alexandria).

For the volume, the calculation gives 25.3 Å³/atom. For the total magnetic moment, the calculation gives 0.0000 μB per atom. For the density of states at the Fermi level, the calculation gives 0.41 states/eV per atom.

Cell lengths 4.7520, 4.7520, 12.3239 Å; angles 90.00, 90.00, 90.00 degrees
Space group P4/mmm (No. 123)
Symmetry-distinct sites (fractional):
Ca: 0.0000 0.0000 0.1925
Zn: 0.0000 0.0000 0.5000
Hg: 0.0000 0.5000 0.0000
Hg: 0.0000 0.5000 0.3728
Hg: 0.5000 0.5000 0.1966


# Ca8ZnHg2

A relaxed Ca8ZnHg2 crystal (PBE, Alexandria).

For the volume, the calculation gives 32.4 Å³/atom. For the total magnetic moment, the calculation gives 0.0000 μB per atom. For the density of states at the Fermi level, the calculation gives 0.68 states/eV per atom.

Cell lengths 5.2437, 9.1602, 14.8534 Å; angles 90.00, 90.00, 90.00 degrees
Space group Immm (No. 71)
Symmetry-distinct sites (fractional):
Ca: 0.0000 0.0000 0.1312
Ca: 0.0000 0.2164 0.3382
Ca: 0.0000 0.3214 0.0000
Zn: 0.0000 0.5000 0.5000
Hg: 0.0000 0.5000 0.1965


# Ca3ZnHg2

A relaxed Ca3ZnHg2 crystal (PBE, Alexandria).

For the volume, the calculation gives 26.5 Å³/atom. For the total magnetic moment, the calculation gives 0.0000 μB per atom. For the density of states at the Fermi level, the calculation gives 0.73 states/eV per atom.

Cell lengths 5.3372, 15.9673, 3.7327 Å; angles 90.00, 90.00, 90.00 degrees
Space group Cmmm (No. 65)
Symmetry-distinct sites (fractional):
Ca: 0.0000 0.0000 0.0000
Ca: 0.0000 0.3355 0.0000
Zn: 0.0000 0.5000 0.5000
Hg: 0.0000 0.1656 0.5000


# Ca4ZnHg

A relaxed Ca4ZnHg crystal (PBE, Alexandria).

For the volume, the calculation gives 34.4 Å³/atom. For the total magnetic moment, the calculation gives 0.0002 μB per atom. For the density of states at the Fermi level, the calculation gives 1.36 states/eV per atom.

Cell lengths 7.4452, 7.4455, 7.4444 Å; angles 90.00, 90.12, 90.00 degrees
Space group C2/m (No. 12)
Symmetry-distinct sites (fractional):
Ca: 0.2500 0.2499 0.2465
Zn: 0.0000 0.0000 0.0000
Hg: 0.0000 0.5000 0.5000


Number 1: DFT formation energy -0.297 eV/atom. Number 2: DFT formation energy 0.188 eV/atom. Number 3: DFT formation energy -0.266 eV/atom. Number 4: DFT formation energy -0.191 eV/atom. Number 5: DFT formation energy -0.444 eV/atom. Number 6: DFT formation energy -0.154 eV/atom.